# GGA-PBE MoIr3, relaxed
# - electronic total energy (eV/atom) = -9.661
# - magnetization (μB per formula unit) = 0.00
# - energy relative to the lowest polymorph listed for this composition (eV/atom) = 0.028
# - DOS(E_F) (states/eV per cell) = 5.551
# - DFT formation energy (eV/atom) = -0.308
data_MoIr3
_chemical_formula_sum 'Mo2 Ir6'
_symmetry_space_group_name_H-M 'P m m n'
_symmetry_Int_Tables_number 59
_cell_length_a 4.392
_cell_length_b 5.549
_cell_length_c 4.833
_cell_angle_alpha 90.00
_cell_angle_beta 90.00
_cell_angle_gamma 90.00
loop_
_symmetry_equiv_pos_as_xyz
'x,y,z'
'-x,-y,-z'
'-x+1/2,-y+1/2,z'
'x+1/2,y+1/2,-z'
'x+1/2,-y,-z'
'-x+1/2,y,z'
'-x,y+1/2,-z'
'x,-y+1/2,z'
loop_
_atom_site_label
_atom_site_type_symbol
_atom_site_fract_x
_atom_site_fract_y
_atom_site_fract_z
Mo1 Mo 0.250 0.250 0.167
Ir1 Ir 0.250 0.004 0.669
Ir2 Ir 0.250 0.750 0.166